The following is a GGA-PBE calculation of Ac2Co after structural relaxation, from Alexandria.

abc: 4.230 4.231 6.828
angles: 90.08 90.00 119.99
Atoms (fractional coordinates):
Co1 0.000 0.000 0.500
Ac1 0.334 0.667 0.725
Ac2 0.666 0.333 0.275

Summary:
Space-group type: No. 12
Formation energy from the elements (kJ/mol of atoms): -3


The following is a GGA-PBE calculation of PmTl3Bi2Te6 after structural relaxation, from Alexandria.

abc: 7.927 7.927 8.468
angles: 98.98 98.98 120.00
Atoms (fractional coordinates):
Tl1 0.500 0.500 0.500
Tl2 0.166 0.834 0.500
Tl3 0.834 0.166 0.500
Te1 0.408 0.074 0.221
Te2 0.074 0.408 0.221
Te3 0.592 0.926 0.779
Te4 0.261 0.261 0.781
Te5 0.739 0.739 0.219
Te6 0.926 0.592 0.779
Pm1 0.000 0.000 0.000
Bi1 0.666 0.334 0.000
Bi2 0.334 0.666 0.000

Summary:
Space-group type: No. 12
Formation energy from raw total energies (eV per formula unit): -6.7


The following is a GGA-PBE calculation of Ac3PuSn12 after structural relaxation, from Alexandria.

abc: 4.854 4.854 19.442
angles: 90.00 90.00 90.00
Site moments in Bohr magnetons follow the coordinates.
Atoms (fractional coordinates):
Sn1 0.500 0.500 0.243  0.00
Sn2 0.500 0.500 0.757  0.00
Sn3 0.000 0.500 0.885  0.00
Sn4 0.500 0.500 0.000  0.03
Sn5 0.500 0.000 0.629  -0.01
Sn6 0.500 0.500 0.500  0.00
Sn7 0.500 0.000 0.371  -0.01
Sn8 0.500 0.000 0.115  0.00
Sn9 0.500 0.000 0.885  0.00
Sn10 0.000 0.500 0.629  -0.01
Sn11 0.000 0.500 0.115  0.00
Sn12 0.000 0.500 0.371  -0.01
Ac1 0.000 0.000 0.243  0.01
Ac2 0.000 0.000 0.757  0.01
Ac3 0.000 0.000 0.500  -0.01
Pu1 0.000 0.000 0.000  -5.36

Summary:
Space-group type: No. 123
Formation energy from the elements (kJ/mol of atoms): -45


The following is a GGA-PBE calculation of AcPaSi2Ir2 after structural relaxation, from Alexandria.

abc: 4.196 4.196 8.425
angles: 90.00 90.00 120.00
Atoms (fractional coordinates):
Pa1 0.000 0.000 0.500
Si1 0.667 0.333 0.266
Si2 0.333 0.667 0.734
Ir1 0.667 0.333 0.710
Ir2 0.333 0.667 0.290
Ac1 0.000 0.000 0.000

Summary:
Space-group type: No. 164
Formation energy from raw total energies (eV per formula unit): -5.3


The following is a GGA-PBE calculation of Rb2NaTl3I6 after structural relaxation, from Alexandria.

abc: 8.752 8.752 8.734
angles: 99.72 99.72 119.83
Atoms (fractional coordinates):
Rb1 0.665 0.335 0.000
Rb2 0.335 0.665 0.000
I1 0.081 0.388 0.244
I2 0.225 0.225 0.745
I3 0.775 0.775 0.255
I4 0.612 0.919 0.756
I5 0.919 0.612 0.756
I6 0.388 0.081 0.244
Tl1 0.830 0.170 0.500
Tl2 0.500 0.500 0.500
Tl3 0.170 0.830 0.500
Na1 0.000 0.000 0.000

Summary:
Space-group type: No. 12
Formation energy from raw total energies (eV per formula unit): -12.3


The following is a GGA-PBE calculation of Nd2Cu3Ge after structural relaxation, from Alexandria.

abc: 5.790 5.790 8.374
angles: 107.82 107.82 96.60
Atoms (fractional coordinates):
Nd1 0.762 0.762 0.000
Nd2 0.238 0.238 0.000
Nd3 0.750 0.250 0.500
Nd4 0.250 0.750 0.500
Cu1 0.665 0.168 0.833
Cu2 0.335 0.832 0.167
Cu3 0.168 0.168 0.335
Cu4 0.832 0.335 0.167
Cu5 0.168 0.665 0.833
Cu6 0.832 0.832 0.665
Ge1 0.664 0.664 0.329
Ge2 0.336 0.336 0.671

Summary:
Space-group type: No. 69
Formation energy from the elements (kJ/mol of atoms): -38


The following is a GGA-PBE calculation of Li6CuHg5 after structural relaxation, from Alexandria.

abc: 4.563 6.838 7.936
angles: 115.52 106.71 90.00
Atoms (fractional coordinates):
Hg1 0.331 0.331 0.662
Hg2 0.342 0.842 0.684
Hg3 0.658 0.158 0.316
Hg4 0.000 0.500 0.000
Hg5 0.669 0.669 0.338
Li1 0.500 0.754 0.000
Li2 0.500 0.246 0.000
Li3 0.837 0.592 0.674
Li4 0.837 0.082 0.674
Li5 0.163 0.408 0.326
Li6 0.163 0.918 0.326
Cu1 0.000 0.000 0.000

Summary:
Space-group type: No. 71
Formation energy from the elements (kJ/mol of atoms): -28


The following is a GGA-PBE calculation of Sm12In6Co after structural relaxation, from Alexandria.

abc: 8.409 8.409 8.409
angles: 94.32 94.32 94.32
Atoms (fractional coordinates):
In1 0.264 0.656 0.860
In2 0.736 0.344 0.140
In3 0.860 0.264 0.656
In4 0.656 0.860 0.264
In5 0.344 0.140 0.736
In6 0.140 0.736 0.344
Sm1 0.200 0.427 0.541
Sm2 0.688 0.021 0.914
Sm3 0.459 0.800 0.573
Sm4 0.573 0.459 0.800
Sm5 0.427 0.541 0.200
Sm6 0.086 0.312 0.979
Sm7 0.312 0.979 0.086
Sm8 0.979 0.086 0.312
Sm9 0.800 0.573 0.459
Sm10 0.541 0.200 0.427
Sm11 0.021 0.914 0.688
Sm12 0.914 0.688 0.021
Co1 0.000 0.000 0.000

Summary:
Space-group type: No. 148
Formation energy from the elements (kJ/mol of atoms): -19


The following is a GGA-PBE calculation of AlIrBr2O after structural relaxation, from Alexandria.

abc: 5.694 3.253 5.694
angles: 90.00 90.00 90.00
Site moments in Bohr magnetons follow the coordinates.
Atoms (fractional coordinates):
Br1 0.000 0.000 0.500  0.09
Br2 0.500 0.000 0.000  0.16
O1 0.000 0.000 0.000  0.00
Ir1 0.500 0.500 0.500  1.73
Al1 0.000 0.500 0.000  0.00

Summary:
Space-group type: No. 123
Formation energy from raw total energies (eV per formula unit): 1.2


The following is a GGA-PBE calculation of K3Er2Cl9 after structural relaxation, from Alexandria.

abc: 9.596 9.596 9.596
angles: 84.58 84.58 84.58
Atoms (fractional coordinates):
Cl1 0.403 0.097 0.250
Cl2 0.097 0.250 0.403
Cl3 0.903 0.750 0.597
Cl4 0.225 0.579 0.434
Cl5 0.434 0.225 0.579
Cl6 0.775 0.421 0.566
Cl7 0.250 0.403 0.097
Cl8 0.079 0.725 0.934
Cl9 0.921 0.275 0.066
Cl10 0.579 0.434 0.225
Cl11 0.597 0.903 0.750
Cl12 0.566 0.775 0.421
Cl13 0.750 0.597 0.903
Cl14 0.275 0.066 0.921
Cl15 0.421 0.566 0.775
Cl16 0.066 0.921 0.275
Cl17 0.725 0.934 0.079
Cl18 0.934 0.079 0.725
Er1 0.353 0.353 0.353
Er2 0.853 0.853 0.853
Er3 0.647 0.647 0.647
Er4 0.147 0.147 0.147
K1 0.063 0.437 0.750
K2 0.250 0.937 0.563
K3 0.437 0.750 0.063
K4 0.750 0.063 0.437
K5 0.563 0.250 0.937
K6 0.937 0.563 0.250

Summary:
Space-group type: No. 167
Formation energy from raw total energies (eV per formula unit): -30.0


The following is a GGA-PBE calculation of Pm3Sn2Pb after structural relaxation, from Alexandria.

abc: 4.314 4.851 8.651
angles: 90.00 104.44 90.00
Atoms (fractional coordinates):
Pm1 0.335 0.000 0.670
Pm2 0.665 0.000 0.330
Pm3 0.500 0.500 0.000
Sn1 0.822 0.500 0.643
Sn2 0.178 0.500 0.357
Pb1 0.000 0.000 0.000

Summary:
Space-group type: No. 65
Formation energy from the elements (kJ/mol of atoms): -60


The following is a GGA-PBE calculation of Pr2Al4Pd3Au after structural relaxation, from Alexandria.

abc: 4.343 4.343 10.548
angles: 90.00 90.00 90.00
Atoms (fractional coordinates):
Pd1 0.000 0.500 0.129
Pd2 0.000 0.000 0.500
Pd3 0.500 0.000 0.871
Pr1 0.000 0.500 0.755
Pr2 0.500 0.000 0.245
Au1 0.500 0.500 0.500
Al1 0.500 0.000 0.632
Al2 0.000 0.500 0.368
Al3 0.500 0.500 0.000
Al4 0.000 0.000 0.000

Summary:
Space-group type: No. 115
Formation energy from the elements (kJ/mol of atoms): -79


The following is a GGA-PBE calculation of Pr2Zn3Ga4Ir after structural relaxation, from Alexandria.

abc: 4.248 4.248 10.691
angles: 90.00 90.00 90.00
Atoms (fractional coordinates):
Ga1 0.500 0.500 0.000
Ga2 0.000 0.000 0.000
Ga3 0.500 0.000 0.630
Ga4 0.000 0.500 0.370
Ir1 0.500 0.500 0.500
Zn1 0.000 0.000 0.500
Zn2 0.500 0.000 0.863
Zn3 0.000 0.500 0.137
Pr1 0.000 0.500 0.747
Pr2 0.500 0.000 0.253

Summary:
Space-group type: No. 115
Formation energy from the elements (kJ/mol of atoms): -48


The following is a GGA-PBE calculation of Ca2Y3Pt4 after structural relaxation, from Alexandria.

abc: 7.632 7.770 7.729
angles: 90.00 90.00 109.94
Atoms (fractional coordinates):
Pt1 0.630 0.498 0.632
Pt2 0.867 0.093 0.538
Pt3 0.633 0.907 0.038
Pt4 0.870 0.502 0.132
Pt5 0.130 0.498 0.868
Pt6 0.133 0.907 0.462
Pt7 0.370 0.502 0.368
Pt8 0.367 0.093 0.962
Y1 0.500 0.500 0.000
Y2 0.249 0.241 0.667
Y3 0.751 0.759 0.333
Y4 0.749 0.241 0.833
Y5 0.000 0.500 0.500
Y6 0.251 0.759 0.167
Ca1 0.574 0.195 0.324
Ca2 0.426 0.805 0.676
Ca3 0.074 0.195 0.176
Ca4 0.926 0.805 0.824

Summary:
Space-group type: No. 14
Formation energy from the elements (kJ/mol of atoms): -105


The following is a GGA-PBE calculation of BaNiSe after structural relaxation, from Alexandria.

abc: 4.123 6.191 7.971
angles: 124.95 102.32 101.39
Atoms (fractional coordinates):
Se1 0.935 0.978 0.397
Se2 0.692 0.978 0.883
Ni1 0.489 0.978 0.534
Ni2 0.137 0.979 0.746
Ba1 0.110 0.572 0.937
Ba2 0.516 0.384 0.343

Summary:
Space-group type: No. 2
Formation energy from raw total energies (eV per formula unit): -2.7


The following is a GGA-PBE calculation of DyMgCo2H6 after structural relaxation, from Alexandria.

abc: 4.371 4.371 5.594
angles: 67.00 67.00 60.00
Atoms (fractional coordinates):
Dy1 0.000 0.000 0.000
Mg1 0.500 0.500 0.500
Co1 0.207 0.207 0.380
Co2 0.793 0.793 0.620
H1 0.048 0.571 0.810
H2 0.952 0.429 0.190
H3 0.429 0.429 0.190
H4 0.429 0.952 0.190
H5 0.571 0.571 0.810
H6 0.571 0.048 0.810

Summary:
Space-group type: No. 166


The following is a GGA-PBE calculation of Zr2VHgW after structural relaxation, from Alexandria.

abc: 5.132 4.608 5.132
angles: 90.00 90.00 90.00
Site moments in Bohr magnetons follow the coordinates.
Atoms (fractional coordinates):
W1 0.000 0.000 0.000  -0.14
V1 0.000 0.500 0.000  1.06
Zr1 0.500 0.000 0.000  0.12
Zr2 0.000 0.000 0.500  0.06
Hg1 0.500 0.500 0.500  0.00

Summary:
Space-group type: No. 123
Formation energy from the elements (kJ/mol of atoms): 87


The following is a GGA-PBE calculation of Cs12As5I3 after structural relaxation, from Alexandria.

abc: 19.080 19.080 19.080
angles: 109.47 109.47 109.47
Site moments in Bohr magnetons follow the coordinates.
Atoms (fractional coordinates):
Cs1 0.587 0.621 0.413  0.03
Cs2 0.292 0.879 0.965  0.03
Cs3 0.535 0.326 0.913  0.03
Cs4 0.587 0.965 0.674  0.03
Cs5 0.826 0.913 0.035  0.03
Cs6 0.879 0.587 0.913  0.03
Cs7 0.087 0.174 0.208  0.03
Cs8 0.965 0.379 0.292  0.03
Cs9 0.708 0.121 0.035  0.03
Cs10 0.208 0.674 0.087  0.03
Cs11 0.413 0.292 0.326  0.03
Cs12 0.913 0.826 0.535  0.03
Cs13 0.087 0.174 0.465  0.03
Cs14 0.621 0.587 0.913  0.03
Cs15 0.913 0.826 0.792  0.03
Cs16 0.292 0.413 0.826  0.03
Cs17 0.174 0.087 0.708  0.03
Cs18 0.621 0.035 0.208  0.03
Cs19 0.913 0.087 0.879  0.03
Cs20 0.708 0.587 0.174  0.03
Cs21 0.413 0.379 0.587  0.03
Cs22 0.035 0.413 0.826  0.03
Cs23 0.121 0.708 0.535  0.03
Cs24 0.465 0.674 0.087  0.03
Cs25 0.208 0.535 0.621  0.03
Cs26 0.965 0.587 0.174  0.03
Cs27 0.587 0.708 0.674  0.03
Cs28 0.674 0.208 0.587  0.03
Cs29 0.674 0.465 0.587  0.03
Cs30 0.087 0.913 0.379  0.03
Cs31 0.326 0.535 0.413  0.03
Cs32 0.035 0.621 0.708  0.03
Cs33 0.326 0.792 0.413  0.03
Cs34 0.879 0.292 0.465  0.03
Cs35 0.535 0.208 0.121  0.03
Cs36 0.587 0.879 0.413  0.03
Cs37 0.121 0.413 0.087  0.03
Cs38 0.413 0.121 0.587  0.03
Cs39 0.913 0.087 0.621  0.03
Cs40 0.379 0.413 0.087  0.03
Cs41 0.174 0.087 0.965  0.03
Cs42 0.087 0.913 0.121  0.03
Cs43 0.413 0.035 0.326  0.03
Cs44 0.465 0.792 0.879  0.03
Cs45 0.826 0.913 0.292  0.03
Cs46 0.792 0.465 0.379  0.03
Cs47 0.792 0.326 0.913  0.03
Cs48 0.379 0.965 0.792  0.03
As1 0.500 0.500 0.000  0.36
As2 0.750 0.125 0.875  0.50
As3 0.375 0.125 0.750  0.50
As4 0.375 0.250 0.125  0.50
As5 0.250 0.375 0.625  0.50
As6 0.875 0.250 0.625  0.50
As7 0.750 0.625 0.375  0.50
As8 0.125 0.375 0.250  0.50
As9 0.250 0.875 0.125  0.50
As10 0.625 0.750 0.875  0.50
As11 0.875 0.625 0.750  0.50
As12 0.625 0.875 0.250  0.50
As13 0.000 0.500 0.500  0.36
As14 0.125 0.750 0.375  0.50
As15 0.000 0.500 0.000  0.36
As16 0.000 0.000 0.000  0.36
As17 0.500 0.000 0.500  0.36
As18 0.000 0.000 0.500  0.36
As19 0.500 0.500 0.500  0.36
As20 0.500 0.000 0.000  0.36
I1 0.625 0.250 0.375  0.00
I2 0.875 0.125 0.250  0.00
I3 0.125 0.250 0.875  0.00
I4 0.875 0.750 0.125  0.00
I5 0.375 0.625 0.250  0.00
I6 0.250 0.625 0.875  0.00
I7 0.375 0.750 0.625  0.00
I8 0.750 0.875 0.625  0.00
I9 0.125 0.875 0.750  0.00
I10 0.625 0.375 0.750  0.00
I11 0.750 0.375 0.125  0.00
I12 0.250 0.125 0.375  0.00

Summary:
Space-group type: No. 230
Formation energy from raw total energies (eV per formula unit): -8.9


| no. | E_tot (eV/cell) |
| --- | --- |
| 1 | -15.4 |
| 2 | -45.2 |
| 3 | -82.2 |
| 4 | -47.5 |
| 5 | -32.0 |
| 6 | -57.6 |
| 7 | -20.6 |
| 8 | -84.0 |
| 9 | -19.8 |
| 10 | -118.1 |
| 11 | -29.7 |
| 12 | -51.6 |
| 13 | -39.3 |
| 14 | -114.7 |
| 15 | -27.7 |
| 16 | -43.0 |
| 17 | -34.9 |
| 18 | -188.3 |